Material: LiY2Ge2Rh5
Method: DFT, PBE-GGA
State: relaxed

Cell lengths 9.8590, 9.8590, 3.4901 Å; angles 90.00, 90.00, 90.00 degrees
Space group P4/mbm (No. 127)
Inequivalent atoms, fractional coordinates:
Li: 0.0000 0.0000 0.0000 x2
Y: 0.1719 0.3281 0.0000 x4
Ge: 0.1285 0.6285 0.0000 x4
Rh: 0.0000 0.5000 0.5000 x2
Rh: 0.0658 0.7941 0.5000 x8

## Properties
**Energy**: -6.769 eV per atom
**V**: 339 Å³/cell
**Calculated formation energy**: -0.6852 eV/atom
**DOS at the Fermi energy**: 8.93 states/eV per cell